[1]
Compound: NdTmScTl
Source: Alexandria via LeMat-Bulk
Functional: PBE
Structure: optimized geometry

a b c (Å): 4.802 4.736 4.815
angles (deg): 90.00 90.00 90.00
Element x y z (fractional)
Tl1 0.000 0.500 0.500
Sc1 0.000 0.000 0.000
Tm1 0.500 0.000 0.500
Nd1 0.500 0.500 0.000

For the formation enthalpy at 0 K, the calculation gives -0.17 eV per atom. The value obtained for the density of states at the Fermi level is 5.62 states/eV per cell. For the total energy, the calculation gives -4.650 eV/atom. For the polymorph energy (0 for the lowest one), the calculation gives 0 meV per atom. Its space group is Pmmm, No. 47.

---

[2]
Compound: NdYScTl
Source: Alexandria via LeMat-Bulk
Functional: PBE
Structure: optimized geometry

a b c (Å): 5.439 5.439 5.439
angles (deg): 60.00 60.00 60.00
Element x y z (fractional)
Nd1 0.250 0.250 0.250
Tl1 0.000 0.000 0.000
Y1 0.750 0.750 0.750
Sc1 0.500 0.500 0.500

For the formation enthalpy at 0 K, the calculation gives -0.08 eV per atom. The value obtained for the density of states at the Fermi level is 4.55 states/eV per cell. For the total energy, the calculation gives -5.066 eV/atom. Its space group is F-43m, No. 216.

---

[3]
Compound: NdY2ScTl4
Source: Alexandria via LeMat-Bulk
Functional: PBE
Structure: optimized geometry

a b c (Å): 5.341 5.341 9.317
angles (deg): 73.34 73.34 60.00
Element x y z (fractional)
Tl1 0.128 0.128 0.617
Nd1 0.000 0.000 0.000
Y1 0.752 0.752 0.745
Y2 0.248 0.248 0.255
Tl2 0.378 0.378 0.865
Sc1 0.500 0.500 0.500
Tl3 0.622 0.622 0.135
Tl4 0.872 0.872 0.383

For the formation enthalpy at 0 K, the calculation gives -0.33 eV per atom. The value obtained for the density of states at the Fermi level is 6.87 states/eV per cell. For the total energy, the calculation gives -4.520 eV/atom. Its space group is R-3m, No. 166.

---

[4]
Compound: NdYSc2Tl4
Source: Alexandria via LeMat-Bulk
Functional: PBE
Structure: optimized geometry

a b c (Å): 5.282 5.282 9.168
angles (deg): 73.26 73.26 60.00
Element x y z (fractional)
Tl1 0.874 0.874 0.379
Y1 0.500 0.500 0.500
Sc1 0.750 0.750 0.749
Tl2 0.377 0.377 0.870
Tl3 0.126 0.126 0.621
Tl4 0.623 0.623 0.130
Nd1 0.000 0.000 0.000
Sc2 0.250 0.250 0.251

For the formation enthalpy at 0 K, the calculation gives -0.30 eV per atom. The value obtained for the density of states at the Fermi level is 6.60 states/eV per cell. For the total energy, the calculation gives -4.474 eV/atom. Its space group is R-3m, No. 166.

---

[5]
Compound: NdScTlZn
Source: Alexandria via LeMat-Bulk
Functional: PBE
Structure: optimized geometry

a b c (Å): 5.183 5.183 5.183
angles (deg): 60.00 60.00 60.00
Element x y z (fractional)
Nd1 0.750 0.750 0.750
Sc1 0.250 0.250 0.250
Zn1 0.000 0.000 0.000
Tl1 0.500 0.500 0.500

For the formation enthalpy at 0 K, the calculation gives -0.29 eV per atom. The value obtained for the density of states at the Fermi level is 4.44 states/eV per cell. For the total energy, the calculation gives -3.976 eV/atom. Its space group is F-43m, No. 216.

---

[6]
Compound: Nd3Tm2Sc
Source: Alexandria via LeMat-Bulk
Functional: PBE
Structure: optimized geometry

a b c (Å): 6.824 7.723 7.723
angles (deg): 74.31 90.00 90.00
Element x y z (fractional)
Nd1 0.407 0.529 0.189
Nd2 0.907 0.471 0.811
Tm1 0.913 0.546 0.201
Tm2 0.413 0.454 0.799
Nd3 0.407 0.189 0.529
Sc1 0.161 0.840 0.840
Sc2 0.661 0.160 0.160
Tm3 0.913 0.201 0.546
Nd4 0.658 0.865 0.865
Tm4 0.413 0.799 0.454
Nd5 0.158 0.135 0.135
Nd6 0.907 0.811 0.471

For the formation enthalpy at 0 K, the calculation gives 0.24 eV per atom. The value obtained for the density of states at the Fermi level is 18.67 states/eV per cell. For the total energy, the calculation gives -4.692 eV/atom. For the polymorph energy (0 for the lowest one), the calculation gives 194 meV per atom. Its space group is Cmc2_1, No. 36.